Computed, not measured: a relaxed structure of Ac2HgH6Rh2 at the GGA-PBE level of DFT.

abc: 5.1754 5.1754 19.4428
angles: 90.00 90.00 120.00
Space group R-3m (No. 166, hexagonal axes)
Inequivalent atoms, fractional coordinates:
Ac (0.0000, 0.0000, 0.2286)
Hg (0.0000, 0.0000, 0.0000)
H (0.0223, 0.5112, 0.2291)
Rh (0.0000, 0.0000, 0.3868)

Output
Fermi-level density of states ... 0.43 states/eV per atom
Total DFT energy (no corrections) ... -140.4 eV/cell

Computed, not measured: a relaxed structure of Na4BiAs at the GGA-PBE level of DFT.

abc: 3.431 4.778 9.443
angles: 90.08 90.68 90.00
Space group P-1 (No. 2)
Inequivalent atoms, fractional coordinates:
Na (0.008, 0.001, 0.176)
Na (0.484, 0.499, 0.646)
Bi (0.500, 0.500, 0.000)
As (0.000, 0.000, 0.500)

Output
DFT formation energy ... -0.306 eV/atom
Fermi-level density of states ... 0.27 states/eV per atom

Computed, not measured: a relaxed structure of Tb4CePm15 at the GGA-PBE level of DFT.

abc: 5.135 5.135 25.650
angles: 90.00 90.00 90.00
Space group P4/mmm (No. 123)
Inequivalent atoms, fractional coordinates:
Tb (0.000, 0.000, 0.100)
Tb (0.000, 0.000, 0.300)
Ce (0.000, 0.000, 0.500)
Pm (0.000, 0.500, 0.000)
Pm (0.000, 0.500, 0.200)
Pm (0.000, 0.500, 0.401)
Pm (0.500, 0.500, 0.100)
Pm (0.500, 0.500, 0.299)
Pm (0.500, 0.500, 0.500)

Output
DFT formation energy ... 0.028 eV/atom
Fermi-level density of states ... 1.63 states/eV per atom

Computed, not measured: a relaxed structure of Li2PaPd6 at the GGA-PBE level of DFT.

abc: 6.3422 6.3422 4.3169
angles: 90.00 90.00 120.00
Space group P-62m (No. 189)
Inequivalent atoms, fractional coordinates:
Li (0.3333, 0.6667, 0.0000)
Pa (0.0000, 0.0000, 0.5000)
Pd (0.0000, 0.2611, 0.0000)
Pd (0.0000, 0.5699, 0.5000)

Output
DFT formation energy ... -0.335 eV/atom
Fermi-level density of states ... 0.60 states/eV per atom

Computed, not measured: a relaxed structure of NdZn3Ir at the GGA-PBE level of DFT.

abc: 4.774 4.774 4.774
angles: 90.00 90.00 90.00
Space group Pm-3m (No. 221)
Inequivalent atoms, fractional coordinates:
Nd (0.000, 0.000, 0.000)
Zn (0.000, 0.500, 0.500)
Ir (0.500, 0.500, 0.500)

Output
DFT formation energy ... -0.188 eV/atom
Fermi-level density of states ... 0.88 states/eV per atom

Computed, not measured: a relaxed structure of Co4OsW at the GGA-PBE level of DFT.

abc: 6.564 6.564 6.564
angles: 90.00 90.00 90.00
Space group F-43m (No. 216)
Inequivalent atoms, fractional coordinates:
Co (0.124, 0.124, 0.124)
Os (0.250, 0.250, 0.750)
W (0.000, 0.000, 0.500)

Output
DFT formation energy ... 0.058 eV/atom
Fermi-level density of states ... 1.61 states/eV per atom

Computed, not measured: a relaxed structure of TcRuBr3 at the GGA-PBE level of DFT.

abc: 5.043 5.043 5.043
angles: 90.00 90.00 90.00
Space group Pm-3m (No. 221)
Inequivalent atoms, fractional coordinates:
Tc (0.000, 0.000, 0.000)
Ru (0.500, 0.500, 0.500)
Br (0.000, 0.500, 0.500)

Output
Formation energy without anion corrections ... 0.9233 eV per atom
Fermi-level density of states ... 0.71 states/eV per atom

Computed, not measured: a relaxed structure of HPt2F at the GGA-PBE level of DFT.

abc: 5.712 5.712 5.712
angles: 90.00 90.00 90.00
Space group Fm-3m (No. 225)
Inequivalent atoms, fractional coordinates:
H (0.000, 0.000, 0.000)
Pt (0.250, 0.250, 0.250)
F (0.000, 0.000, 0.500)

Output
Fermi-level density of states ... 0.91 states/eV per atom
Total DFT energy (no corrections) ... -59.7 eV/cell

Computed, not measured: a relaxed structure of CaSc2Al at the GGA-PBE level of DFT.

abc: 6.417 10.671 3.150
angles: 90.00 113.64 90.00
Space group C2/m (No. 12)
Inequivalent atoms, fractional coordinates:
Ca (0.000, 0.000, 0.000)
Sc (0.250, 0.250, 0.500)
Al (0.000, 0.500, 0.000)

Output
DFT formation energy ... 0.074 eV/atom
Fermi-level density of states ... 1.52 states/eV per atom

Computed, not measured: a relaxed structure of SmHo3Tm7 at the GGA-PBE level of DFT.

abc: 6.856 5.455 9.810
angles: 90.00 109.24 90.00
Space group P2/m (No. 10)
Inequivalent atoms, fractional coordinates:
Sm (0.000, 0.000, 0.000)
Ho (0.276, 0.500, 0.494)
Ho (0.500, 0.000, 0.000)
Tm (0.000, 0.000, 0.500)
Tm (0.151, 0.500, 0.790)
Tm (0.321, 0.500, 0.142)
Tm (0.429, 0.000, 0.332)

Output
DFT formation energy ... 0.160 eV/atom
Fermi-level density of states ... 1.68 states/eV per atom

Computed, not measured: a relaxed structure of Tb6Ni2Au at the GGA-PBE level of DFT.

abc: 9.326 9.615 9.920
angles: 90.00 90.00 90.00
Space group Immm (No. 71)
Inequivalent atoms, fractional coordinates:
Tb (0.000, 0.191, 0.239)
Tb (0.192, 0.500, 0.173)
Tb (0.216, 0.321, 0.500)
Ni (0.000, 0.349, 0.000)
Ni (0.000, 0.500, 0.379)
Au (0.000, 0.000, 0.000)
Au (0.000, 0.000, 0.500)

Output
DFT formation energy ... -0.397 eV/atom
Fermi-level density of states ... 1.04 states/eV per atom

Computed, not measured: a relaxed structure of La7Sm3Y2 at the GGA-PBE level of DFT.

abc: 6.594 3.596 17.963
angles: 90.00 95.76 90.00
Space group P2/m (No. 10)
Inequivalent atoms, fractional coordinates:
La (0.000, 0.000, 0.000)
La (0.224, 0.500, 0.172)
La (0.262, 0.500, 0.492)
La (0.273, 0.000, 0.832)
Sm (0.456, 0.000, 0.337)
Sm (0.500, 0.500, 0.000)
Y (0.056, 0.500, 0.669)

Output
DFT formation energy ... 0.064 eV/atom
Fermi-level density of states ... 1.51 states/eV per atom

Question: What is the Fermi-level density of states in the tenth record?
Answer: 1.68 states/eV per atom